# PBE NbSnAs, relaxed
# E_tot ... -5.904 eV/atom
data_NbSnAs
_space_group_name_H-M_alt 'F -4 3 m'
_space_group_IT_number 216
_space_group_name_Hall 'F -4 2 3'
_cell_length_a 6.5373
_cell_length_b 6.5373
_cell_length_c 6.5373
_cell_angle_alpha 90.00
_cell_angle_beta 90.00
_cell_angle_gamma 90.00
loop_
_atom_site_label
_atom_site_type_symbol
_atom_site_fract_x
_atom_site_fract_y
_atom_site_fract_z
Nb1 Nb 0.0000 0.0000 0.0000
Sn1 Sn 0.2500 0.2500 0.2500
As1 As 0.2500 0.2500 0.7500

# PBE TaNbAs2, relaxed
# E_tot ... -8.428 eV/atom
data_TaNbAs2
_space_group_name_H-M_alt 'I m m 2'
_space_group_IT_number 44
_cell_length_a 3.4695
_cell_length_b 3.4735
_cell_length_c 11.7574
_cell_angle_alpha 90.00
_cell_angle_beta 90.00
_cell_angle_gamma 90.00
loop_
_space_group_symop_operation_xyz
'x,y,z'
'-x,-y,z'
'-x,y,z'
'x,-y,z'
'x+1/2,y+1/2,z+1/2'
'-x+1/2,-y+1/2,z+1/2'
'-x+1/2,y+1/2,z+1/2'
'x+1/2,-y+1/2,z+1/2'
loop_
_atom_site_label
_atom_site_type_symbol
_atom_site_fract_x
_atom_site_fract_y
_atom_site_fract_z
Ta1 Ta 0.0000 0.0000 0.0000
Nb1 Nb 0.0000 0.5000 0.2501
As1 As 0.0000 0.0000 0.5824
As2 As 0.0000 0.5000 0.8325

# PBE TaNb2As2, relaxed
# E_tot ... -8.007 eV/atom
data_TaNb2As2
_space_group_name_H-M_alt 'I 4/m m m'
_space_group_IT_number 139
_space_group_name_Hall '-I 4 2'
_cell_length_a 4.2257
_cell_length_b 4.2257
_cell_length_c 10.4670
_cell_angle_alpha 90.00
_cell_angle_beta 90.00
_cell_angle_gamma 90.00
loop_
_atom_site_label
_atom_site_type_symbol
_atom_site_fract_x
_atom_site_fract_y
_atom_site_fract_z
Ta1 Ta 0.0000 0.0000 0.0000
Nb1 Nb 0.0000 0.5000 0.2500
As1 As 0.0000 0.0000 0.3872

# PBE TaNb2As, relaxed
# E_tot ... -9.112 eV/atom
data_TaNb2As
_space_group_name_H-M_alt 'F -4 3 m'
_space_group_IT_number 216
_space_group_name_Hall 'F -4 2 3'
_cell_length_a 6.5226
_cell_length_b 6.5226
_cell_length_c 6.5226
_cell_angle_alpha 90.00
_cell_angle_beta 90.00
_cell_angle_gamma 90.00
loop_
_atom_site_label
_atom_site_type_symbol
_atom_site_fract_x
_atom_site_fract_y
_atom_site_fract_z
Ta1 Ta 0.0000 0.0000 0.0000
Nb1 Nb 0.0000 0.0000 0.5000
Nb2 Nb 0.2500 0.2500 0.2500
As1 As 0.2500 0.2500 0.7500

# PBE TbNbAs, relaxed
# E_tot ... -6.764 eV/atom
data_TbNbAs
_space_group_name_H-M_alt 'F -4 3 m'
_space_group_IT_number 216
_space_group_name_Hall 'F -4 2 3'
_cell_length_a 6.4785
_cell_length_b 6.4785
_cell_length_c 6.4785
_cell_angle_alpha 90.00
_cell_angle_beta 90.00
_cell_angle_gamma 90.00
loop_
_atom_site_label
_atom_site_type_symbol
_atom_site_fract_x
_atom_site_fract_y
_atom_site_fract_z
Tb1 Tb 0.0000 0.0000 0.0000
Nb1 Nb 0.0000 0.0000 0.5000
As1 As 0.2500 0.2500 0.7500

# PBE NbTcAs, relaxed
# E_tot ... -8.477 eV/atom
data_NbTcAs
_space_group_name_H-M_alt 'F -4 3 m'
_space_group_IT_number 216
_space_group_name_Hall 'F -4 2 3'
_cell_length_a 6.0297
_cell_length_b 6.0297
_cell_length_c 6.0297
_cell_angle_alpha 90.00
_cell_angle_beta 90.00
_cell_angle_gamma 90.00
loop_
_atom_site_label
_atom_site_type_symbol
_atom_site_fract_x
_atom_site_fract_y
_atom_site_fract_z
Nb1 Nb 0.0000 0.0000 0.0000
Tc1 Tc 0.2500 0.2500 0.7500
As1 As 0.0000 0.0000 0.5000

# PBE NbTcAs, relaxed
# E_tot ... -8.124 eV/atom
data_NbTcAs
_space_group_name_H-M_alt 'F -4 3 m'
_space_group_IT_number 216
_space_group_name_Hall 'F -4 2 3'
_cell_length_a 6.0945
_cell_length_b 6.0945
_cell_length_c 6.0945
_cell_angle_alpha 90.00
_cell_angle_beta 90.00
_cell_angle_gamma 90.00
loop_
_atom_site_label
_atom_site_type_symbol
_atom_site_fract_x
_atom_site_fract_y
_atom_site_fract_z
Nb1 Nb 0.0000 0.0000 0.0000
Tc1 Tc 0.2500 0.2500 0.7500
As1 As 0.2500 0.2500 0.2500

# PBE NbTc2As2, relaxed
# E_tot ... -7.747 eV/atom
data_NbTc2As2
_space_group_name_H-M_alt 'I 4/m m m'
_space_group_IT_number 139
_space_group_name_Hall '-I 4 2'
_cell_length_a 4.3509
_cell_length_b 4.3509
_cell_length_c 9.0987
_cell_angle_alpha 90.00
_cell_angle_beta 90.00
_cell_angle_gamma 90.00
loop_
_atom_site_label
_atom_site_type_symbol
_atom_site_fract_x
_atom_site_fract_y
_atom_site_fract_z
Nb1 Nb 0.0000 0.0000 0.0000
Tc1 Tc 0.0000 0.0000 0.3730
As1 As 0.0000 0.5000 0.2500

# PBE NbTeAs, relaxed
# E_tot ... -5.481 eV/atom
data_NbTeAs
_space_group_name_H-M_alt 'F -4 3 m'
_space_group_IT_number 216
_space_group_name_Hall 'F -4 2 3'
_cell_length_a 6.5273
_cell_length_b 6.5273
_cell_length_c 6.5273
_cell_angle_alpha 90.00
_cell_angle_beta 90.00
_cell_angle_gamma 90.00
loop_
_atom_site_label
_atom_site_type_symbol
_atom_site_fract_x
_atom_site_fract_y
_atom_site_fract_z
Nb1 Nb 0.0000 0.0000 0.0000
Te1 Te 0.0000 0.0000 0.5000
As1 As 0.2500 0.2500 0.2500

# PBE NbTeAs, relaxed
# E_tot ... -5.887 eV/atom
data_NbTeAs
_space_group_name_H-M_alt 'F -4 3 m'
_space_group_IT_number 216
_space_group_name_Hall 'F -4 2 3'
_cell_length_a 6.6126
_cell_length_b 6.6126
_cell_length_c 6.6126
_cell_angle_alpha 90.00
_cell_angle_beta 90.00
_cell_angle_gamma 90.00
loop_
_atom_site_label
_atom_site_type_symbol
_atom_site_fract_x
_atom_site_fract_y
_atom_site_fract_z
Nb1 Nb 0.0000 0.0000 0.0000
Te1 Te 0.2500 0.2500 0.2500
As1 As 0.2500 0.2500 0.7500

# PBE NbAsW, relaxed
# E_tot ... -8.724 eV/atom
data_NbAsW
_space_group_name_H-M_alt 'F -4 3 m'
_space_group_IT_number 216
_space_group_name_Hall 'F -4 2 3'
_cell_length_a 6.0347
_cell_length_b 6.0347
_cell_length_c 6.0347
_cell_angle_alpha 90.00
_cell_angle_beta 90.00
_cell_angle_gamma 90.00
loop_
_atom_site_label
_atom_site_type_symbol
_atom_site_fract_x
_atom_site_fract_y
_atom_site_fract_z
Nb1 Nb 0.0000 0.0000 0.0000
As1 As 0.2500 0.2500 0.2500
W1 W 0.0000 0.0000 0.5000

# PBE YNbAs2, relaxed
# E_tot ... -6.407 eV/atom
data_YNbAs2
_space_group_name_H-M_alt 'F -4 3 m'
_space_group_IT_number 216
_space_group_name_Hall 'F -4 2 3'
_cell_length_a 6.8228
_cell_length_b 6.8228
_cell_length_c 6.8228
_cell_angle_alpha 90.00
_cell_angle_beta 90.00
_cell_angle_gamma 90.00
loop_
_atom_site_label
_atom_site_type_symbol
_atom_site_fract_x
_atom_site_fract_y
_atom_site_fract_z
Y1 Y 0.0000 0.0000 0.0000
Nb1 Nb 0.2500 0.2500 0.7500
As1 As 0.0000 0.0000 0.5000
As2 As 0.2500 0.2500 0.2500

# PBE YNb2As2, relaxed
# E_tot ... -7.882 eV/atom
data_YNb2As2
_space_group_name_H-M_alt 'I 4/m m m'
_space_group_IT_number 139
_space_group_name_Hall '-I 4 2'
_cell_length_a 3.9766
_cell_length_b 3.9766
_cell_length_c 12.8510
_cell_angle_alpha 90.00
_cell_angle_beta 90.00
_cell_angle_gamma 90.00
loop_
_atom_site_label
_atom_site_type_symbol
_atom_site_fract_x
_atom_site_fract_y
_atom_site_fract_z
Y1 Y 0.0000 0.0000 0.0000
Nb1 Nb 0.0000 0.5000 0.2500
As1 As 0.0000 0.0000 0.3886

# PBE YNb2As, relaxed
# E_tot ... -7.869 eV/atom
data_YNb2As
_space_group_name_H-M_alt 'F -4 3 m'
_space_group_IT_number 216
_space_group_name_Hall 'F -4 2 3'
_cell_length_a 6.7784
_cell_length_b 6.7784
_cell_length_c 6.7784
_cell_angle_alpha 90.00
_cell_angle_beta 90.00
_cell_angle_gamma 90.00
loop_
_atom_site_label
_atom_site_type_symbol
_atom_site_fract_x
_atom_site_fract_y
_atom_site_fract_z
Y1 Y 0.0000 0.0000 0.0000
Nb1 Nb 0.0000 0.0000 0.5000
Nb2 Nb 0.2500 0.2500 0.2500
As1 As 0.2500 0.2500 0.7500

# PBE Y2NbAs, relaxed
# E_tot ... -6.858 eV/atom
data_Y2NbAs
_space_group_name_H-M_alt 'F -4 3 m'
_space_group_IT_number 216
_space_group_name_Hall 'F -4 2 3'
_cell_length_a 7.0571
_cell_length_b 7.0571
_cell_length_c 7.0571
_cell_angle_alpha 90.00
_cell_angle_beta 90.00
_cell_angle_gamma 90.00
loop_
_atom_site_label
_atom_site_type_symbol
_atom_site_fract_x
_atom_site_fract_y
_atom_site_fract_z
Y1 Y 0.0000 0.0000 0.0000
Y2 Y 0.2500 0.2500 0.2500
Nb1 Nb 0.2500 0.2500 0.7500
As1 As 0.0000 0.0000 0.5000

# PBE Nb2ZnAs, relaxed
# E_tot ... -6.277 eV/atom
data_Nb2ZnAs
_space_group_name_H-M_alt 'F -4 3 m'
_space_group_IT_number 216
_space_group_name_Hall 'F -4 2 3'
_cell_length_a 6.4795
_cell_length_b 6.4795
_cell_length_c 6.4795
_cell_angle_alpha 90.00
_cell_angle_beta 90.00
_cell_angle_gamma 90.00
loop_
_atom_site_label
_atom_site_type_symbol
_atom_site_fract_x
_atom_site_fract_y
_atom_site_fract_z
Nb1 Nb 0.0000 0.0000 0.0000
Nb2 Nb 0.2500 0.2500 0.2500
Zn1 Zn 0.2500 0.2500 0.7500
As1 As 0.0000 0.0000 0.5000

# PBE NbZn2As, relaxed
# E_tot ... -4.112 eV/atom
data_NbZn2As
_space_group_name_H-M_alt 'F -4 3 m'
_space_group_IT_number 216
_space_group_name_Hall 'F -4 2 3'
_cell_length_a 6.3965
_cell_length_b 6.3965
_cell_length_c 6.3965
_cell_angle_alpha 90.00
_cell_angle_beta 90.00
_cell_angle_gamma 90.00
loop_
_atom_site_label
_atom_site_type_symbol
_atom_site_fract_x
_atom_site_fract_y
_atom_site_fract_z
Nb1 Nb 0.0000 0.0000 0.0000
Zn1 Zn 0.0000 0.0000 0.5000
Zn2 Zn 0.2500 0.2500 0.2500
As1 As 0.2500 0.2500 0.7500

# PBE Zr2NbAs, relaxed
# E_tot ... -8.058 eV/atom
data_Zr2NbAs
_space_group_name_H-M_alt 'F -4 3 m'
_space_group_IT_number 216
_space_group_name_Hall 'F -4 2 3'
_cell_length_a 6.7276
_cell_length_b 6.7276
_cell_length_c 6.7276
_cell_angle_alpha 90.00
_cell_angle_beta 90.00
_cell_angle_gamma 90.00
loop_
_atom_site_label
_atom_site_type_symbol
_atom_site_fract_x
_atom_site_fract_y
_atom_site_fract_z
Zr1 Zr 0.0000 0.0000 0.0000
Zr2 Zr 0.2500 0.2500 0.2500
Nb1 Nb 0.2500 0.2500 0.7500
As1 As 0.0000 0.0000 0.5000

# PBE ZrNb2As, relaxed
# E_tot ... -8.474 eV/atom
data_ZrNb2As
_space_group_name_H-M_alt 'F -4 3 m'
_space_group_IT_number 216
_space_group_name_Hall 'F -4 2 3'
_cell_length_a 6.6320
_cell_length_b 6.6320
_cell_length_c 6.6320
_cell_angle_alpha 90.00
_cell_angle_beta 90.00
_cell_angle_gamma 90.00
loop_
_atom_site_label
_atom_site_type_symbol
_atom_site_fract_x
_atom_site_fract_y
_atom_site_fract_z
Zr1 Zr 0.0000 0.0000 0.0000
Nb1 Nb 0.0000 0.0000 0.5000
Nb2 Nb 0.2500 0.2500 0.2500
As1 As 0.2500 0.2500 0.7500

# PBE ZrNb2As2, relaxed
# E_tot ... -7.968 eV/atom
data_ZrNb2As2
_space_group_name_H-M_alt 'I 4/m m m'
_space_group_IT_number 139
_space_group_name_Hall '-I 4 2'
_cell_length_a 3.8947
_cell_length_b 3.8947
_cell_length_c 12.5833
_cell_angle_alpha 90.00
_cell_angle_beta 90.00
_cell_angle_gamma 90.00
loop_
_atom_site_label
_atom_site_type_symbol
_atom_site_fract_x
_atom_site_fract_y
_atom_site_fract_z
Zr1 Zr 0.0000 0.0000 0.0000
Nb1 Nb 0.0000 0.5000 0.2500
As1 As 0.0000 0.0000 0.3940